# HfCrF2, relaxed, DFT GGA+U
data_HfCrF2
_chemical_formula_sum 'Hf3 Cr3 F6'
_cell_length_a 2.9546
_cell_length_b 2.9546
_cell_length_c 27.6738
_cell_angle_alpha 90.00
_cell_angle_beta 90.00
_cell_angle_gamma 120.00
_space_group_name_H-M_alt 'R -3 m'
_space_group_IT_number 166
_space_group_name_Hall '-R 3 2"'
loop_
_atom_site_label
_atom_site_type_symbol
_atom_site_fract_x
_atom_site_fract_y
_atom_site_fract_z
Hf1 Hf 0.0000 0.0000 0.0000
Cr1 Cr 0.0000 0.0000 0.5000
F1 F 0.0000 0.0000 0.3886
# E in eV per atom: -6.86